Entry 1:
Entry from Alexandria: a geometry-optimized NbAlOsPb2 structure (PBE).

a b c (Å): 5.2574 5.2574 5.0371
angles (deg): 90.00 90.00 90.00
Element x y z (fractional)
Nb  0.0000  0.0000  0.0000
Al  0.5000  0.5000  0.0000
Os  0.0000  0.0000  0.5000
Pb  0.0000  0.5000  0.5000
Pb  0.5000  0.0000  0.5000

Output
DFT formation energy: 473.1 kJ/mol of formula units
calculated volume: 139.2 Å³ per cell



Entry 2:
Entry from Alexandria: a geometry-optimized PmZn4Ge3 structure (PBE).

a b c (Å): 4.5113 4.5113 7.5653
angles (deg): 90.00 90.00 90.00
Element x y z (fractional)
Pm  0.0000  0.0000  0.0000
Zn  0.0000  0.5000  0.3233
Zn  0.0000  0.5000  0.6767
Zn  0.5000  0.0000  0.3233
Zn  0.5000  0.0000  0.6767
Ge  0.0000  0.0000  0.5000
Ge  0.5000  0.5000  0.1616
Ge  0.5000  0.5000  0.8384

Output
DFT formation energy: -141.3 kJ/mol of formula units
calculated volume: 154.0 Å³ per cell



> Number 2 is which compound?

PmZn4Ge3